CaTl2GeCl6 | PBE | relaxed

Properties
**DOS(E_F)**: 0.0 states/eV/cell
**Volume**: 30.17 Å³/atom
**Formation energy without anion corrections**: -1358.3 meV per atom
**E**: -36.0 eV/f.u.

Cell: 7.524 7.524 7.534 Å, 60.04 60.04 59.99°
Fractional positions:
Tl1 0.543 0.543 0.371
Tl2 0.045 0.045 0.864
Cl1 0.638 0.085 0.783
Cl2 0.578 0.144 0.279
Cl3 0.999 0.578 0.279
Cl4 0.494 0.638 0.783
Cl5 0.085 0.494 0.783
Cl6 0.144 0.999 0.279
Ge1 0.318 0.318 0.047
Ca1 0.817 0.817 0.548

CaTlGeCl5 | PBE | relaxed

Properties
**DOS(E_F)**: 0.0 states/eV/cell
**Volume**: 32.42 Å³/atom
**Formation energy without anion corrections**: -1435.6 meV per atom
**E**: -29.7 eV/f.u.

Cell: 7.504 7.504 10.896 Å, 110.21 110.21 97.32°
Fractional positions:
Ge1 0.732 0.268 0.250
Ge2 0.268 0.732 0.750
Tl1 0.685 0.315 0.750
Tl2 0.315 0.685 0.250
Cl1 0.033 0.967 0.250
Cl2 0.340 0.886 0.576
Cl3 0.775 0.607 0.402
Cl4 0.660 0.114 0.424
Cl5 0.886 0.340 0.076
Cl6 0.225 0.393 0.598
Cl7 0.114 0.660 0.924
Cl8 0.607 0.775 0.902
Cl9 0.393 0.225 0.098
Cl10 0.967 0.033 0.750
Ca1 0.000 0.000 0.000
Ca2 0.000 0.000 0.500

Ca2HCl | PBE | relaxed

Properties
**Energy above the lowest structure with this stoichiometry**: 0.00 eV per formula unit
**DOS(E_F)**: 1.7 states/eV/cell
**Volume**: 21.60 Å³/atom
**E**: -12.6 eV/f.u.

Cell: 3.762 3.762 7.375 Å, 75.22 75.22 60.00°
Fractional positions:
H1 0.000 0.000 0.000
Ca1 0.267 0.267 0.198
Ca2 0.733 0.733 0.802
Cl1 0.500 0.500 0.500

Ca2H6Cl | PBE | relaxed

Properties
**DOS(E_F)**: 1.5 states/eV/cell
**Volume**: 10.04 Å³/atom
**E**: -25.5 eV/f.u.

Cell: 5.036 5.036 5.036 Å, 60.00 60.00 60.00°
Fractional positions:
Cl1 0.000 0.000 0.000
H1 0.640 0.360 0.360
H2 0.360 0.640 0.360
H3 0.640 0.360 0.640
H4 0.640 0.640 0.360
H5 0.360 0.360 0.640
H6 0.360 0.640 0.640
Ca1 0.750 0.750 0.750
Ca2 0.250 0.250 0.250

CaHCl | PBE | relaxed

Properties
**DOS(E_F)**: 0.0 states/eV/cell
**Volume**: 17.74 Å³/atom
**E**: -10.7 eV/f.u.

Cell: 3.364 3.364 5.269 Å, 108.62 108.62 90.00°
Fractional positions:
Cl1 0.009 0.009 0.018
H1 0.283 0.283 0.567
Ca1 0.707 0.707 0.415

Ca2HCl2 | PBE | relaxed

Properties
**Energy above the lowest structure with this stoichiometry**: 0.00 eV per formula unit
**DOS(E_F)**: 3.0 states/eV/cell
**Volume**: 21.72 Å³/atom
**E**: -17.6 eV/f.u.

Cell: 7.030 7.030 4.396 Å, 90.00 90.00 90.00°
Fractional positions:
Cl1 0.344 0.156 0.500
Cl2 0.156 0.656 0.500
Cl3 0.656 0.844 0.500
Cl4 0.844 0.344 0.500
Ca1 0.823 0.677 0.000
Ca2 0.677 0.177 0.000
Ca3 0.323 0.823 0.000
Ca4 0.177 0.323 0.000
H1 0.500 0.500 0.000
H2 0.000 0.000 0.000

CaHCl2 | PBE | relaxed

Properties
**DOS(E_F)**: 0.0 states/eV/cell
**Volume**: 19.57 Å³/atom
**E**: -13.8 eV/f.u.

Cell: 4.800 4.800 4.800 Å, 60.05 60.05 60.05°
Fractional positions:
Cl1 0.750 0.750 0.750
Cl2 0.250 0.250 0.250
H1 0.500 0.500 0.500
Ca1 0.000 0.000 0.000

CaHCl2 | PBE | relaxed

Properties
**DOS(E_F)**: 0.0 states/eV/cell
**Volume**: 34.54 Å³/atom
**E**: -14.0 eV/f.u.

Cell: 9.677 9.677 9.677 Å, 24.61 24.61 24.61°
Fractional positions:
Cl1 0.883 0.883 0.883
Cl2 0.117 0.117 0.117
H1 0.000 0.000 0.000
Ca1 0.500 0.500 0.500

Ca2HCl | PBE | relaxed

Properties
**Energy above the lowest structure with this stoichiometry**: 1.81 eV per formula unit
**DOS(E_F)**: 2.2 states/eV/cell
**Volume**: 22.58 Å³/atom
**E**: -10.8 eV/f.u.

Cell: 5.036 5.036 5.036 Å, 60.00 60.00 60.00°
Fractional positions:
Ca1 0.750 0.750 0.750
Ca2 0.250 0.250 0.250
Cl1 0.500 0.500 0.500
H1 0.000 0.000 0.000

Ca2HCl2 | PBE | relaxed

Properties
**Energy above the lowest structure with this stoichiometry**: 3.35 eV per formula unit
**DOS(E_F)**: 2.6 states/eV/cell
**Volume**: 60.12 Å³/atom
**E**: -14.3 eV/f.u.

Cell: 4.820 4.820 12.940 Å, 90.00 90.00 90.00°
Fractional positions:
Cl1 0.500 0.500 0.348
Cl2 0.500 0.500 0.652
H1 0.500 0.500 0.000
Ca1 0.500 0.500 0.836
Ca2 0.500 0.500 0.164

Ca2HCl | PBE | relaxed

Properties
**Energy above the lowest structure with this stoichiometry**: 0.14 eV per formula unit
**DOS(E_F)**: 4.7 states/eV/cell
**Volume**: 26.05 Å³/atom
**E**: -12.5 eV/f.u.

Cell: 6.080 6.080 7.090 Å, 64.61 64.61 90.00°
Fractional positions:
Ca1 0.375 0.429 0.750
Ca2 0.571 0.125 0.250
Ca3 0.179 0.625 0.250
Ca4 0.875 0.821 0.750
Cl1 0.750 0.250 0.500
Cl2 0.000 0.000 0.000
H1 0.500 0.500 0.000
H2 0.250 0.750 0.500

CaH2Cl6 | PBE | relaxed

Properties
**DOS(E_F)**: 0.0 states/eV/cell
**Volume**: 27.83 Å³/atom
**E**: -28.6 eV/f.u.

Cell: 8.008 8.080 8.080 Å, 93.40 101.12 101.12°
Fractional positions:
Cl1 0.833 0.053 0.607
Cl2 0.167 0.947 0.393
Cl3 0.333 0.607 0.053
Cl4 0.907 0.785 0.969
Cl5 0.574 0.616 0.528
Cl6 0.926 0.472 0.384
Cl7 0.426 0.384 0.472
Cl8 0.593 0.031 0.215
Cl9 0.093 0.215 0.031
Cl10 0.407 0.969 0.785
Cl11 0.074 0.528 0.616
Cl12 0.667 0.393 0.947
Ca1 0.250 0.942 0.058
Ca2 0.750 0.058 0.942
H1 0.218 0.462 0.047
H2 0.782 0.538 0.953
H3 0.718 0.047 0.462
H4 0.282 0.953 0.538

CaHCl2 | PBE | relaxed

Properties
**DOS(E_F)**: 0.0 states/eV/cell
**Volume**: 38.14 Å³/atom
**E**: -13.5 eV/f.u.

Cell: 6.944 6.944 8.009 Å, 64.31 64.31 90.00°
Fractional positions:
Cl1 0.707 0.125 0.250
Cl2 0.375 0.293 0.750
Cl3 0.875 0.957 0.750
Cl4 0.043 0.625 0.250
H1 0.500 0.500 0.000
H2 0.250 0.750 0.500
Ca1 0.750 0.250 0.500
Ca2 0.000 0.000 0.000

CaHCl | PBE | relaxed

Properties
**DOS(E_F)**: 0.0 states/eV/cell
**Volume**: 17.04 Å³/atom
**E**: -11.7 eV/f.u.

Cell: 3.807 3.807 7.056 Å, 90.00 90.00 90.00°
Fractional positions:
Ca1 0.750 0.750 0.812
Ca2 0.250 0.250 0.188
H1 0.750 0.250 0.000
H2 0.250 0.750 0.000
Cl1 0.750 0.750 0.343
Cl2 0.250 0.250 0.657

CaHCl | PBE | relaxed

Properties
**DOS(E_F)**: 0.0 states/eV/cell
**Volume**: 17.52 Å³/atom
**E**: -11.6 eV/f.u.

Cell: 3.791 6.706 8.269 Å, 90.00 90.00 90.00°
Fractional positions:
Cl1 0.250 0.478 0.177
Cl2 0.750 0.522 0.823
Cl3 0.250 0.978 0.323
Cl4 0.750 0.022 0.677
Ca1 0.250 0.203 0.905
Ca2 0.750 0.297 0.405
Ca3 0.250 0.703 0.595
Ca4 0.750 0.797 0.095
H1 0.250 0.873 0.960
H2 0.750 0.127 0.040
H3 0.750 0.627 0.460
H4 0.250 0.373 0.540

CaHCl | PBE | relaxed

Properties
**DOS(E_F)**: 0.0 states/eV/cell
**Volume**: 20.55 Å³/atom
**E**: -11.2 eV/f.u.

Cell: 4.434 4.434 4.434 Å, 60.00 60.00 60.00°
Fractional positions:
Ca1 0.250 0.250 0.250
Cl1 0.000 0.000 0.000
H1 0.500 0.500 0.500

Ca2HCl2 | PBE | relaxed

Properties
**Energy above the lowest structure with this stoichiometry**: 1.16 eV per formula unit
**DOS(E_F)**: 0.0 states/eV/cell
**Volume**: 28.68 Å³/atom
**E**: -16.5 eV/f.u.

Cell: 4.690 4.690 7.315 Å, 71.30 71.30 90.00°
Fractional positions:
Ca1 0.634 0.634 0.733
Ca2 0.366 0.366 0.267
Cl1 0.750 0.250 0.500
Cl2 0.250 0.750 0.500
H1 0.000 0.000 0.000

CaHCl2 | PBE | relaxed

Properties
**DOS(E_F)**: 0.3 states/eV/cell
**Volume**: 23.80 Å³/atom
**E**: -14.0 eV/f.u.

Cell: 4.172 4.133 6.747 Å, 107.00 89.83 119.73°
Fractional positions:
H1 0.937 0.950 0.241
Cl1 0.361 0.387 0.714
Cl2 0.913 0.444 0.254
Ca1 0.626 0.917 0.499

Ca2HCl3 | PBE | relaxed

Properties
**DOS(E_F)**: 0.0 states/eV/cell
**Volume**: 24.57 Å³/atom
**E**: -24.3 eV/f.u.

Cell: 4.203 7.857 10.084 Å, 67.73 77.97 74.48°
Fractional positions:
Cl1 0.218 0.179 0.386
Cl2 0.343 0.315 0.999
Cl3 0.052 0.148 0.749
Cl4 0.657 0.685 0.001
Cl5 0.948 0.852 0.251
Cl6 0.782 0.821 0.614
Ca1 0.397 0.767 0.439
Ca2 0.603 0.233 0.561
Ca3 0.858 0.464 0.820
Ca4 0.142 0.536 0.180
H1 0.568 0.507 0.358
H2 0.432 0.493 0.642

CaHCl | PBE | relaxed

Properties
**DOS(E_F)**: 0.0 states/eV/cell
**Volume**: 19.87 Å³/atom
**E**: -11.0 eV/f.u.

Cell: 4.404 4.404 6.890 Å, 71.37 71.38 90.00°
Fractional positions:
H1 0.154 0.595 0.608
H2 0.654 0.095 0.609
Ca1 0.553 0.493 0.811
Ca2 0.255 0.196 0.406
Cl1 0.904 0.344 0.108
Cl2 0.404 0.844 0.109

CaH2Cl | PBE | relaxed

Properties
**Energy above the lowest structure with this stoichiometry**: 0.79 eV per formula unit
**DOS(E_F)**: 2.4 states/eV/cell
**Volume**: 13.13 Å³/atom
**E**: -12.0 eV/f.u.

Cell: 4.204 4.204 4.204 Å, 60.00 60.00 60.00°
Fractional positions:
H1 0.750 0.750 0.750
H2 0.250 0.250 0.250
Cl1 0.000 0.000 0.000
Ca1 0.500 0.500 0.500

Ca3HCl | PBE | relaxed

Properties
**Energy above the lowest structure with this stoichiometry**: 0.00 eV per formula unit
**DOS(E_F)**: 6.1 states/eV/cell
**Volume**: 27.83 Å³/atom
**E**: -12.7 eV/f.u.

Cell: 5.182 5.182 5.182 Å, 90.00 90.00 90.00°
Fractional positions:
Ca1 0.000 0.000 0.500
Ca2 0.000 0.500 0.000
Ca3 0.500 0.000 0.000
H1 0.000 0.000 0.000
Cl1 0.500 0.500 0.500

CaH2Cl | PBE | relaxed

Properties
**Energy above the lowest structure with this stoichiometry**: 0.00 eV per formula unit
**DOS(E_F)**: 1.0 states/eV/cell
**Volume**: 16.27 Å³/atom
**E**: -12.8 eV/f.u.

Cell: 3.904 3.904 8.972 Å, 77.43 77.43 90.00°
Fractional positions:
H1 0.375 0.125 0.750
H2 0.875 0.125 0.250
H3 0.875 0.625 0.250
H4 0.875 0.125 0.750
Ca1 0.000 0.000 0.000
Ca2 0.750 0.250 0.500
Cl1 0.250 0.750 0.500
Cl2 0.500 0.500 0.000

CaHCl2 | PBE | relaxed

Properties
**Volume**: 24.67 Å³/atom
**E**: -13.7 eV/f.u.

Cell: 4.012 4.148 8.481 Å, 53.23 76.32 61.08°
Fractional positions:
Ca1 0.749 0.422 0.081
H1 0.442 0.931 0.184
Cl1 0.044 0.043 0.869
Cl2 0.265 0.104 0.366

CaHCl | PBE | relaxed

Properties
**DOS(E_F)**: 0.0 states/eV/cell
**Volume**: 17.35 Å³/atom
**E**: -11.5 eV/f.u.

Cell: 4.133 3.814 3.814 Å, 120.00 90.00 90.00°
Fractional positions:
Cl1 0.667 0.667 0.333
Ca1 0.166 0.000 0.000
H1 0.167 0.333 0.667

LiCaHCl2 | PBE | relaxed

Properties
**DOS(E_F)**: 1.6 states/eV/cell
**Volume**: 18.48 Å³/atom
**E**: -15.6 eV/f.u.

Cell: 5.213 3.400 5.213 Å, 90.00 90.00 90.00°
Fractional positions:
Cl1 0.000 0.000 0.500
Cl2 0.500 0.000 0.000
Li1 0.000 0.500 0.000
H1 0.000 0.000 0.000
Ca1 0.500 0.500 0.500